A geometry-optimized Na3Sc3MoO8 structure, computed with GGA+U.

**Final energy**: -7.264 eV/atom

Geometry as CIF:
```
data_Na3Sc3MoO8
_chemical_formula_sum 'Na6 Sc6 Mo2 O16'
_cell_length_a 11.058
_cell_length_b 6.328
_cell_length_c 6.635
_cell_angle_alpha 90.00
_cell_angle_beta 123.42
_cell_angle_gamma 90.00
_symmetry_space_group_name_H-M 'C 1 2/m 1'
_symmetry_Int_Tables_number 12
_symmetry_space_group_name_Hall '-C 2y'
loop_
_atom_site_label
_atom_site_type_symbol
_atom_site_fract_x
_atom_site_fract_y
_atom_site_fract_z
Na1 Na 0.000 0.000 0.000
Na2 Na 0.250 0.250 0.000
Sc1 Sc 0.000 0.500 0.500
Sc2 Sc 0.250 0.250 0.500
Mo1 Mo 0.000 0.000 0.500
O1 O 0.016 0.241 0.306
O2 O 0.231 0.000 0.696
O3 O 0.232 0.500 0.699
```